# KSn6Pb2, optimized geometry, DFT PBE
# offset from the most stable computed form: 0.000 eV/atom
# crystal system: hexagonal
# formation enthalpy at 0 K: -0.027 eV/atom
# spin magnetization: 0.0 Bohr magnetons per cell
data_KSn6Pb2
_chemical_formula_sum 'K1 Sn6 Pb2'
_cell_length_a 9.6148
_cell_length_b 9.6148
_cell_length_c 3.3068
_cell_angle_alpha 90.00
_cell_angle_beta 90.00
_cell_angle_gamma 120.00
_symmetry_space_group_name_H-M 'P 6/m m m'
_symmetry_Int_Tables_number 191
_symmetry_space_group_name_Hall '-P 6 2'
loop_
_atom_site_label
_atom_site_type_symbol
_atom_site_fract_x
_atom_site_fract_y
_atom_site_fract_z
K1 K 0.0000 0.0000 0.0000
Sn1 Sn 0.0000 0.3427 0.5000
Pb1 Pb 0.3333 0.6667 0.0000



# K2AlNi, optimized geometry, DFT PBE
# crystal system: trigonal
# formation enthalpy at 0 K: 0.809 eV/atom
# spin magnetization: 0.6 Bohr magnetons per cell
data_K2AlNi
_chemical_formula_sum 'K6 Al3 Ni3'
_cell_length_a 3.3119
_cell_length_b 3.3119
_cell_length_c 33.2753
_cell_angle_alpha 90.00
_cell_angle_beta 90.00
_cell_angle_gamma 120.00
_symmetry_space_group_name_H-M 'R -3 m'
_symmetry_Int_Tables_number 166
_symmetry_space_group_name_Hall '-R 3 2"'
loop_
_atom_site_label
_atom_site_type_symbol
_atom_site_fract_x
_atom_site_fract_y
_atom_site_fract_z
K1 K 0.0000 0.0000 0.2424
Al1 Al 0.0000 0.0000 0.0000
Ni1 Ni 0.0000 0.0000 0.5000



# NaZrNiW2, optimized geometry, DFT PBE
# offset from the most stable computed form: 1.423 eV/atom
# crystal system: tetragonal
# formation enthalpy at 0 K: 2.655 eV/atom
# spin magnetization: 0.0 Bohr magnetons per cell
data_NaZrNiW2
_chemical_formula_sum 'Na1 Zr1 Ni1 W2'
_cell_length_a 4.5247
_cell_length_b 4.5247
_cell_length_c 4.7129
_cell_angle_alpha 90.00
_cell_angle_beta 90.00
_cell_angle_gamma 90.00
_symmetry_space_group_name_H-M 'P 4/m m m'
_symmetry_Int_Tables_number 123
_symmetry_space_group_name_Hall '-P 4 2'
loop_
_atom_site_label
_atom_site_type_symbol
_atom_site_fract_x
_atom_site_fract_y
_atom_site_fract_z
Na1 Na 0.0000 0.0000 0.0000
Zr1 Zr 0.0000 0.0000 0.5000
Ni1 Ni 0.5000 0.5000 0.5000
W1 W 0.0000 0.5000 0.0000



# Hf2Al3Au2, optimized geometry, DFT PBE
# offset from the most stable computed form: 0.000 eV/atom
# crystal system: orthorhombic
# formation enthalpy at 0 K: -0.429 eV/atom
# spin magnetization: 0.0 Bohr magnetons per cell
data_Hf2Al3Au2
_chemical_formula_sum 'Hf8 Al12 Au8'
_cell_length_a 4.3952
_cell_length_b 19.4520
_cell_length_c 5.9634
_cell_angle_alpha 90.00
_cell_angle_beta 90.00
_cell_angle_gamma 90.00
_symmetry_space_group_name_H-M 'C m c m'
_symmetry_Int_Tables_number 63
_symmetry_space_group_name_Hall '-C 2c 2'
loop_
_atom_site_label
_atom_site_type_symbol
_atom_site_fract_x
_atom_site_fract_y
_atom_site_fract_z
Hf1 Hf 0.0000 0.0158 0.2500
Hf2 Hf 0.0000 0.1426 0.7500
Al1 Al 0.0000 0.1677 0.2500
Al2 Al 0.0000 0.4301 0.0172
Au1 Au 0.0000 0.2948 0.0031



Which of these has the highest formation enthalpy at 0 K?
NaZrNiW2